Computed, not measured: a relaxed structure of AgMoPdF2 at the PBE with a Hubbard U level of DFT.

a b c (Å): 4.1493 5.9943 4.1493
angles (deg): 90.00 90.00 90.00
Last column: nearest neighbours and their distance in Å.
Positions (direct):
1 Ag 0.0000 0.0000 0.0000  4 F 2.07
2 Pd 0.5000 0.5000 0.5000  4 Mo 2.93
3 F 0.0000 0.0000 0.5000  2 Ag 2.07
4 Mo 0.0000 0.5000 0.0000  4 Pd 2.93, 2 Ag 3.00
5 F 0.5000 0.0000 0.0000  2 Ag 2.07

Values from the calculation:
- magnetization (μB/f.u.) = 4.69
- SG = No. 123
- VASP energy (eV/atom) = -3.70